# 1
# Be3RhF GGA-PBEsol relaxed
# M_tot   0.0 μB/f.u.
# Formation energy (no corrections)   346 meV/atom
# ΔE to the lowest computed polymorph   822.0 meV/atom
data_Be3RhF
_chemical_formula_sum 'Be3 Rh1 F1'
_symmetry_space_group_name_H-M 'P m -3 m'
_symmetry_Int_Tables_number 221
_symmetry_space_group_name_Hall '-P 4 2 3'
_cell_length_a 4.171
_cell_length_b 4.171
_cell_length_c 4.171
_cell_angle_alpha 90.00
_cell_angle_beta 90.00
_cell_angle_gamma 90.00
loop_
_atom_site_label
_atom_site_type_symbol
_atom_site_fract_x
_atom_site_fract_y
_atom_site_fract_z
Be1 Be 0.000 0.000 0.500
Rh1 Rh 0.000 0.000 0.000
F1 F 0.500 0.500 0.500

# 2
# Be3RhF GGA-PBEsol relaxed
# M_tot   0.0 μB/f.u.
# Formation energy (no corrections)   -476 meV/atom
# ΔE to the lowest computed polymorph   0.0 meV/atom
data_Be3RhF
_chemical_formula_sum 'Be3 Rh1 F1'
_symmetry_space_group_name_H-M 'P m -3 m'
_symmetry_Int_Tables_number 221
_symmetry_space_group_name_Hall '-P 4 2 3'
_cell_length_a 3.601
_cell_length_b 3.601
_cell_length_c 3.601
_cell_angle_alpha 90.00
_cell_angle_beta 90.00
_cell_angle_gamma 90.00
loop_
_atom_site_label
_atom_site_type_symbol
_atom_site_fract_x
_atom_site_fract_y
_atom_site_fract_z
Be1 Be 0.000 0.000 0.500
Rh1 Rh 0.500 0.500 0.500
F1 F 0.000 0.000 0.000

# 3
# BeSi2RhF GGA-PBEsol relaxed
# M_tot   0.0 μB/f.u.
# Formation energy (no corrections)   -252 meV/atom
data_BeSi2RhF
_chemical_formula_sum 'Be1 Si2 Rh1 F1'
_symmetry_space_group_name_H-M 'P 4/m m m'
_symmetry_Int_Tables_number 123
_symmetry_space_group_name_Hall '-P 4 2'
_cell_length_a 4.435
_cell_length_b 4.435
_cell_length_c 4.297
_cell_angle_alpha 90.00
_cell_angle_beta 90.00
_cell_angle_gamma 90.00
loop_
_atom_site_label
_atom_site_type_symbol
_atom_site_fract_x
_atom_site_fract_y
_atom_site_fract_z
Be1 Be 0.000 0.000 0.000
Si1 Si 0.000 0.500 0.500
Rh1 Rh 0.000 0.000 0.500
F1 F 0.500 0.500 0.000

# 4
# BeRu3F GGA-PBEsol relaxed
# M_tot   4.2 μB/f.u.
# Formation energy (no corrections)   1165 meV/atom
data_BeRu3F
_chemical_formula_sum 'Be1 Ru3 F1'
_symmetry_space_group_name_H-M 'P m -3 m'
_symmetry_Int_Tables_number 221
_symmetry_space_group_name_Hall '-P 4 2 3'
_cell_length_a 4.095
_cell_length_b 4.095
_cell_length_c 4.095
_cell_angle_alpha 90.00
_cell_angle_beta 90.00
_cell_angle_gamma 90.00
loop_
_atom_site_label
_atom_site_type_symbol
_atom_site_fract_x
_atom_site_fract_y
_atom_site_fract_z
Be1 Be 0.000 0.000 0.000
Ru1 Ru 0.000 0.000 0.500
F1 F 0.500 0.500 0.500

# 5
# YBeRu2F GGA-PBEsol relaxed
# M_tot   0.0 μB/f.u.
# Formation energy (no corrections)   -6 meV/atom
data_YBeRu2F
_chemical_formula_sum 'Y1 Be1 Ru2 F1'
_symmetry_space_group_name_H-M 'P 4/m m m'
_symmetry_Int_Tables_number 123
_symmetry_space_group_name_Hall '-P 4 2'
_cell_length_a 3.967
_cell_length_b 3.967
_cell_length_c 4.933
_cell_angle_alpha 90.00
_cell_angle_beta 90.00
_cell_angle_gamma 90.00
loop_
_atom_site_label
_atom_site_type_symbol
_atom_site_fract_x
_atom_site_fract_y
_atom_site_fract_z
Y1 Y 0.000 0.000 0.000
Be1 Be 0.500 0.500 0.500
Ru1 Ru 0.000 0.500 0.500
F1 F 0.500 0.500 0.000

# 6
# BeSF3 GGA-PBEsol relaxed
# M_tot   0.8 μB/f.u.
# Formation energy (no corrections)   -127 meV/atom
data_BeSF3
_chemical_formula_sum 'Be1 S1 F3'
_symmetry_space_group_name_H-M 'P m -3 m'
_symmetry_Int_Tables_number 221
_symmetry_space_group_name_Hall '-P 4 2 3'
_cell_length_a 4.157
_cell_length_b 4.157
_cell_length_c 4.157
_cell_angle_alpha 90.00
_cell_angle_beta 90.00
_cell_angle_gamma 90.00
loop_
_atom_site_label
_atom_site_type_symbol
_atom_site_fract_x
_atom_site_fract_y
_atom_site_fract_z
Be1 Be 0.000 0.000 0.000
S1 S 0.500 0.500 0.500
F1 F 0.000 0.500 0.500

# 7
# ScBeF3 GGA-PBEsol relaxed
# M_tot   1.7 μB/f.u.
# Formation energy (no corrections)   -2126 meV/atom
data_ScBeF3
_chemical_formula_sum 'Sc1 Be1 F3'
_symmetry_space_group_name_H-M 'P m -3 m'
_symmetry_Int_Tables_number 221
_symmetry_space_group_name_Hall '-P 4 2 3'
_cell_length_a 3.702
_cell_length_b 3.702
_cell_length_c 3.702
_cell_angle_alpha 90.00
_cell_angle_beta 90.00
_cell_angle_gamma 90.00
loop_
_atom_site_label
_atom_site_type_symbol
_atom_site_fract_x
_atom_site_fract_y
_atom_site_fract_z
Sc1 Sc 0.000 0.000 0.000
Be1 Be 0.500 0.500 0.500
F1 F 0.000 0.500 0.500

# 8
# ScBe2F2 GGA-PBEsol relaxed
# M_tot   0.0 μB/f.u.
# Formation energy (no corrections)   -479 meV/atom
data_ScBe2F2
_chemical_formula_sum 'Sc2 Be4 F4'
_symmetry_space_group_name_H-M 'P 4/m b m'
_symmetry_Int_Tables_number 127
_symmetry_space_group_name_Hall '-P 4 2ab'
_cell_length_a 7.427
_cell_length_b 7.427
_cell_length_c 2.379
_cell_angle_alpha 90.00
_cell_angle_beta 90.00
_cell_angle_gamma 90.00
loop_
_atom_site_label
_atom_site_type_symbol
_atom_site_fract_x
_atom_site_fract_y
_atom_site_fract_z
Sc1 Sc 0.000 0.000 0.000
Be1 Be 0.110 0.390 0.000
F1 F 0.102 0.602 0.500

# 9
# ScBeSn2F GGA-PBEsol relaxed
# M_tot   0.0 μB/f.u.
# Formation energy (no corrections)   -332 meV/atom
data_ScBeSn2F
_chemical_formula_sum 'Sc1 Be1 Sn2 F1'
_symmetry_space_group_name_H-M 'P 4/m m m'
_symmetry_Int_Tables_number 123
_symmetry_space_group_name_Hall '-P 4 2'
_cell_length_a 5.636
_cell_length_b 5.636
_cell_length_c 3.838
_cell_angle_alpha 90.00
_cell_angle_beta 90.00
_cell_angle_gamma 90.00
loop_
_atom_site_label
_atom_site_type_symbol
_atom_site_fract_x
_atom_site_fract_y
_atom_site_fract_z
Sc1 Sc 0.000 0.000 0.000
Be1 Be 0.500 0.500 0.500
Sn1 Sn 0.000 0.500 0.000
F1 F 0.000 0.000 0.500

# 10
# SrSc2BeF GGA-PBEsol relaxed
# M_tot   1.1 μB/f.u.
# Formation energy (no corrections)   -382 meV/atom
data_SrSc2BeF
_chemical_formula_sum 'Sr1 Sc2 Be1 F1'
_symmetry_space_group_name_H-M 'P 4/m m m'
_symmetry_Int_Tables_number 123
_symmetry_space_group_name_Hall '-P 4 2'
_cell_length_a 4.401
_cell_length_b 4.401
_cell_length_c 5.674
_cell_angle_alpha 90.00
_cell_angle_beta 90.00
_cell_angle_gamma 90.00
loop_
_atom_site_label
_atom_site_type_symbol
_atom_site_fract_x
_atom_site_fract_y
_atom_site_fract_z
Sr1 Sr 0.000 0.000 0.000
Sc1 Sc 0.000 0.500 0.500
Be1 Be 0.500 0.500 0.000
F1 F 0.500 0.500 0.500

# 11
# Be3SeF GGA-PBEsol relaxed
# M_tot   0.6 μB/f.u.
# Formation energy (no corrections)   814 meV/atom
data_Be3SeF
_chemical_formula_sum 'Be3 Se1 F1'
_symmetry_space_group_name_H-M 'P m -3 m'
_symmetry_Int_Tables_number 221
_symmetry_space_group_name_Hall '-P 4 2 3'
_cell_length_a 4.329
_cell_length_b 4.329
_cell_length_c 4.329
_cell_angle_alpha 90.00
_cell_angle_beta 90.00
_cell_angle_gamma 90.00
loop_
_atom_site_label
_atom_site_type_symbol
_atom_site_fract_x
_atom_site_fract_y
_atom_site_fract_z
Be1 Be 0.000 0.000 0.500
Se1 Se 0.000 0.000 0.000
F1 F 0.500 0.500 0.500

# 12
# Be3SiF GGA-PBEsol relaxed
# M_tot   0.0 μB/f.u.
# Formation energy (no corrections)   67 meV/atom
# ΔE to the lowest computed polymorph   0.0 meV/atom
data_Be3SiF
_chemical_formula_sum 'Be3 Si1 F1'
_symmetry_space_group_name_H-M 'P m -3 m'
_symmetry_Int_Tables_number 221
_symmetry_space_group_name_Hall '-P 4 2 3'
_cell_length_a 3.719
_cell_length_b 3.719
_cell_length_c 3.719
_cell_angle_alpha 90.00
_cell_angle_beta 90.00
_cell_angle_gamma 90.00
loop_
_atom_site_label
_atom_site_type_symbol
_atom_site_fract_x
_atom_site_fract_y
_atom_site_fract_z
Be1 Be 0.000 0.000 0.500
Si1 Si 0.500 0.500 0.500
F1 F 0.000 0.000 0.000